Tb5AuS4: relaxed, PBE-GGA.

```
Tb5AuS4
1.0
3.830 0.000 0.875
1.615 6.552 1.749
-0.025 -0.023 8.929
S Tb Au
4 5 1
Direct
0.599 0.204 0.597 S
0.798 0.608 0.795 S
0.202 0.392 0.205 S
0.401 0.796 0.403 S
0.606 0.683 0.105 Tb
0.000 0.500 0.500 Tb
0.202 0.903 0.693 Tb
0.394 0.317 0.895 Tb
0.798 0.097 0.307 Tb
0.000 0.000 0.000 Au
```

raw total energy = -6.05 eV/atom